DFT (PBE) results for CsZr2In after structural relaxation.

Cell and atoms, written as POSCAR:
```
CsZr2In
1.0
4.674 0.000 0.000
0.000 4.674 0.000
0.000 0.000 21.868
Cs Zr In
4 8 4
direct
0.000 0.000 0.000 Cs
0.000 0.500 0.250 Cs
0.500 0.000 0.750 Cs
0.500 0.500 0.500 Cs
0.213 0.250 0.625 Zr
0.250 0.713 0.875 Zr
0.250 0.787 0.375 Zr
0.287 0.250 0.125 Zr
0.713 0.750 0.125 Zr
0.750 0.213 0.375 Zr
0.750 0.287 0.875 Zr
0.787 0.750 0.625 Zr
0.000 0.000 0.500 In
0.000 0.500 0.750 In
0.500 0.000 0.250 In
0.500 0.500 0.000 In
```

Calculated values
Space-group type   I-42d
Electronic total energy   -0.1543 hartree per atom
Volume   477.82 Å³ per cell
ΔH_f (0 K)   973 meV/atom